Entry 1:
Material: K2CdOs
Method: DFT, PBE
State: optimized geometry

CIF file:
```
data_K2CdOs
_chemical_formula_sum 'K4 Cd2 Os2'
_cell_length_a 13.104
_cell_length_b 2.752
_cell_length_c 6.402
_cell_angle_alpha 90.00
_cell_angle_beta 105.45
_cell_angle_gamma 90.00
_symmetry_space_group_name_H-M 'C 1 m 1'
_symmetry_Int_Tables_number 8
_symmetry_space_group_name_Hall 'C -2y'
loop_
_atom_site_label
_atom_site_fract_x
_atom_site_fract_y
_atom_site_fract_z
_atom_site_occupancy
K1 0.000 0.000 0.000 1
K2 0.193 0.000 0.611 1
Cd1 0.277 0.500 0.170 1
Os1 0.436 0.000 0.469 1
```

DFT formation energy, meV/atom: 854
V, Å³/atom: 27.8



Entry 2:
Material: KCd2Os
Method: DFT, PBE
State: optimized geometry

CIF file:
```
data_KCd2Os
_chemical_formula_sum 'K1 Cd2 Os1'
_cell_length_a 2.836
_cell_length_b 4.265
_cell_length_c 7.726
_cell_angle_alpha 90.00
_cell_angle_beta 90.25
_cell_angle_gamma 90.00
_symmetry_space_group_name_H-M 'P 1 2/m 1'
_symmetry_Int_Tables_number 10
_symmetry_space_group_name_Hall '-P 2y'
loop_
_atom_site_label
_atom_site_fract_x
_atom_site_fract_y
_atom_site_fract_z
_atom_site_occupancy
K1 0.000 0.000 0.000 1
Cd1 0.499 0.500 0.317 1
Os1 0.000 0.000 0.500 1
```

DFT formation energy, meV/atom: 582
ΔE to the lowest computed polymorph, eV/atom: 0.037
V, Å³/atom: 23.4



Entry 3:
Material: K2CdOs
Method: DFT, PBE
State: optimized geometry

CIF file:
```
data_K2CdOs
_chemical_formula_sum 'K2 Cd1 Os1'
_cell_length_a 2.918
_cell_length_b 2.918
_cell_length_c 11.665
_cell_angle_alpha 90.00
_cell_angle_beta 90.00
_cell_angle_gamma 90.00
_symmetry_space_group_name_H-M 'P 4/m m m'
_symmetry_Int_Tables_number 123
_symmetry_space_group_name_Hall '-P 4 2'
loop_
_atom_site_label
_atom_site_fract_x
_atom_site_fract_y
_atom_site_fract_z
_atom_site_occupancy
K1 0.000 0.000 0.226 1
Cd1 0.500 0.500 0.500 1
Os1 0.500 0.500 0.000 1
```

DFT formation energy, meV/atom: 966
V, Å³/atom: 24.8



Entry 4:
Material: K2CdOs
Method: DFT, PBE
State: optimized geometry

CIF file:
```
data_K2CdOs
_chemical_formula_sum 'K2 Cd1 Os1'
_cell_length_a 2.914
_cell_length_b 4.626
_cell_length_c 9.855
_cell_angle_alpha 90.00
_cell_angle_beta 93.79
_cell_angle_gamma 90.00
_symmetry_space_group_name_H-M 'P 1 m 1'
_symmetry_Int_Tables_number 6
_symmetry_space_group_name_Hall 'P -2y'
loop_
_atom_site_label
_atom_site_fract_x
_atom_site_fract_y
_atom_site_fract_z
_atom_site_occupancy
K1 0.000 0.000 0.000 1
K2 0.363 0.500 0.427 1
Cd1 0.941 0.500 0.740 1
Os1 0.430 0.000 0.689 1
```

DFT formation energy, meV/atom: 778
V, Å³/atom: 33.1



> Which of these has the lowest DFT formation energy?

KCd2Os